Record 1
DFT (PBE) results for a relaxed structure of BaB4Os.

The calculation puts the total energy at -0.4630 Ry/atom. The calculation puts the energy above the most stable polymorph in this dataset at 0 meV/atom. The calculation puts the total moment at 0.4 μB/cell.

It has space group P6/mmm (No. 191), with a = 3.1866 Å, b = 3.1866 Å, c = 7.9487 Å, α = 90.00°, β = 90.00° and γ = 120.00°. Symmetry generates all atoms from Ba at (0.0000, 0.0000, 0.0000), B at (0.3333, 0.6667, 0.3068) and Os at (0.0000, 0.0000, 0.5000).

=====

Record 2
DFT (PBE) results for a relaxed structure of BaB4Pd.

The calculation puts the total energy at -0.3845 Ry/atom. The calculation puts the energy above the most stable polymorph in this dataset at 136 meV/atom.

It has space group Immm (No. 71), with a = 3.0032 Å, b = 5.5614 Å, c = 9.3499 Å, α = 90.00°, β = 90.00° and γ = 90.00°. Symmetry generates all atoms from Ba at (0.0000, 0.0000, 0.0000), B at (0.0000, 0.3468, 0.2403) and Pd at (0.0000, 0.0000, 0.5000).